*A*
# PBE CdPbSeO, optimized geometry
# Calculated density in kg/m³: 6654
# Volume in Å³ per cell: 206.91
data_CdPbSeO
_symmetry_space_group_name_H-M 'P 4/n m m'
_symmetry_Int_Tables_number 129
_cell_length_a 4.653
_cell_length_b 4.653
_cell_length_c 9.555
_cell_angle_alpha 90.00
_cell_angle_beta 90.00
_cell_angle_gamma 90.00
loop_
_symmetry_equiv_pos_as_xyz
'x,y,z'
'-x,-y,-z'
'-y+1/2,x,z'
'y+1/2,-x,-z'
'-x+1/2,-y+1/2,z'
'x+1/2,y+1/2,-z'
'y,-x+1/2,z'
'-y,x+1/2,-z'
'x+1/2,-y,-z'
'-x+1/2,y,z'
'-y,-x,-z'
'y,x,z'
'-x,y+1/2,-z'
'x,-y+1/2,z'
'y+1/2,x+1/2,-z'
'-y+1/2,-x+1/2,z'
loop_
_atom_site_label
_atom_site_type_symbol
_atom_site_fract_x
_atom_site_fract_y
_atom_site_fract_z
Cd1 Cd 0.250 0.250 0.003
Pb1 Pb 0.250 0.750 0.500
Se1 Se 0.250 0.250 0.695
O1 O 0.250 0.750 0.000


*B*
# PBE CdPbSeO, optimized geometry
# Calculated density in kg/m³: 6595
# Volume in Å³ per cell: 835.03
data_CdPbSeO
_symmetry_space_group_name_H-M 'P b a m'
_symmetry_Int_Tables_number 55
_cell_length_a 10.370
_cell_length_b 18.832
_cell_length_c 4.276
_cell_angle_alpha 90.00
_cell_angle_beta 90.00
_cell_angle_gamma 90.00
loop_
_symmetry_equiv_pos_as_xyz
'x,y,z'
'-x,-y,-z'
'-x,-y,z'
'x,y,-z'
'x+1/2,-y+1/2,-z'
'-x+1/2,y+1/2,z'
'-x+1/2,y+1/2,-z'
'x+1/2,-y+1/2,z'
loop_
_atom_site_label
_atom_site_type_symbol
_atom_site_fract_x
_atom_site_fract_y
_atom_site_fract_z
Cd1 Cd 0.042 0.113 0.000
Cd2 Cd 0.148 0.630 0.000
Pb1 Pb 0.163 0.258 0.500
Pb2 Pb 0.239 0.486 0.500
Se1 Se 0.008 0.609 0.500
Se2 Se 0.092 0.853 0.500
O1 O 0.191 0.204 0.000
O2 O 0.202 0.036 0.000


Winner for stability: *B*


*A*
# PBE CdPbSeO, optimized geometry
# Calculated density in kg/m³: 7224
# Volume in Å³ per cell: 381.18
data_CdPbSeO
_symmetry_space_group_name_H-M 'P 21 21 21'
_symmetry_Int_Tables_number 19
_cell_length_a 6.568
_cell_length_b 7.410
_cell_length_c 7.832
_cell_angle_alpha 90.00
_cell_angle_beta 90.00
_cell_angle_gamma 90.00
loop_
_symmetry_equiv_pos_as_xyz
'x,y,z'
'-x+1/2,-y,z+1/2'
'x+1/2,-y+1/2,-z'
'-x,y+1/2,-z+1/2'
loop_
_atom_site_label
_atom_site_type_symbol
_atom_site_fract_x
_atom_site_fract_y
_atom_site_fract_z
Cd1 Cd 0.025 0.186 0.433
Pb1 Pb 0.054 0.647 0.538
Se1 Se 0.226 0.970 0.218
O1 O 0.237 0.414 0.471


*B*
# PBE CdPbSeO, optimized geometry
# Calculated density in kg/m³: 7764
# Volume in Å³ per cell: 177.33
data_CdPbSeO
_symmetry_space_group_name_H-M 'P 63 m c'
_symmetry_Int_Tables_number 186
_symmetry_space_group_name_Hall 'P 6c -2c'
_cell_length_a 3.8305
_cell_length_b 3.8305
_cell_length_c 13.9554
_cell_angle_alpha 90.00
_cell_angle_beta 90.00
_cell_angle_gamma 120.00
loop_
_atom_site_label
_atom_site_type_symbol
_atom_site_fract_x
_atom_site_fract_y
_atom_site_fract_z
Cd1 Cd 0.3333 0.6667 0.0000
Pb1 Pb 0.0000 0.0000 0.2234
Se1 Se 0.3333 0.6667 0.3558
O1 O 0.0000 0.0000 0.0503


Winner for stability: *A*


*A*
# PBE CdTcPb2O6, optimized geometry
# Calculated density in kg/m³: 8822
# Volume in Å³ per cell: 271.36
# Total magnetic moment in μB/atom: 0.1001
data_CdTcPb2O6
_symmetry_space_group_name_H-M 'I 4/m'
_symmetry_Int_Tables_number 87
_symmetry_space_group_name_Hall '-I 4'
_cell_length_a 5.672
_cell_length_b 5.672
_cell_length_c 8.435
_cell_angle_alpha 90.00
_cell_angle_beta 90.00
_cell_angle_gamma 90.00
loop_
_atom_site_label
_atom_site_type_symbol
_atom_site_fract_x
_atom_site_fract_y
_atom_site_fract_z
Cd1 Cd 0.000 0.000 0.000
Tc1 Tc 0.000 0.000 0.500
Pb1 Pb 0.000 0.500 0.250
O1 O 0.000 0.000 0.268
O2 O 0.153 0.698 0.500


*B*
# PBE CdTcPb2O6, optimized geometry
# Calculated density in kg/m³: 8621
# Volume in Å³ per cell: 555.33
# Total magnetic moment in μB/atom: 0.0903
data_CdTcPb2O6
_symmetry_space_group_name_H-M 'F m -3 m'
_symmetry_Int_Tables_number 225
_symmetry_space_group_name_Hall '-F 4 2 3'
_cell_length_a 8.220
_cell_length_b 8.220
_cell_length_c 8.220
_cell_angle_alpha 90.00
_cell_angle_beta 90.00
_cell_angle_gamma 90.00
loop_
_atom_site_label
_atom_site_type_symbol
_atom_site_fract_x
_atom_site_fract_y
_atom_site_fract_z
Cd1 Cd 0.000 0.000 0.000
Tc1 Tc 0.000 0.000 0.500
Pb1 Pb 0.250 0.250 0.250
O1 O 0.000 0.000 0.268


Winner for stability: *A*


*A*
# PBE CdPdSeO, optimized geometry
# Calculated density in kg/m³: 6849
# Volume in Å³ per cell: 304.29
data_CdPdSeO
_symmetry_space_group_name_H-M 'P 21 21 21'
_symmetry_Int_Tables_number 19
_cell_length_a 6.354
_cell_length_b 6.470
_cell_length_c 7.401
_cell_angle_alpha 90.00
_cell_angle_beta 90.00
_cell_angle_gamma 90.00
loop_
_symmetry_equiv_pos_as_xyz
'x,y,z'
'-x+1/2,-y,z+1/2'
'x+1/2,-y+1/2,-z'
'-x,y+1/2,-z+1/2'
loop_
_atom_site_label
_atom_site_type_symbol
_atom_site_fract_x
_atom_site_fract_y
_atom_site_fract_z
Cd1 Cd 0.033 0.197 0.378
Pd1 Pd 0.004 0.605 0.741
Se1 Se 0.237 0.643 0.383
O1 O 0.126 0.852 0.882


*B*
# PBE CdPdSeO, optimized geometry
# Calculated density in kg/m³: 7387
# Volume in Å³ per cell: 282.16
data_CdPdSeO
_symmetry_space_group_name_H-M 'P c a 21'
_symmetry_Int_Tables_number 29
_cell_length_a 5.715
_cell_length_b 8.443
_cell_length_c 5.847
_cell_angle_alpha 90.00
_cell_angle_beta 90.00
_cell_angle_gamma 90.00
loop_
_symmetry_equiv_pos_as_xyz
'x,y,z'
'-x,-y,z+1/2'
'-x+1/2,y,z+1/2'
'x+1/2,-y,z'
loop_
_atom_site_label
_atom_site_type_symbol
_atom_site_fract_x
_atom_site_fract_y
_atom_site_fract_z
Cd1 Cd 0.250 0.160 0.000
Pd1 Pd 0.250 0.802 0.498
Se1 Se 0.049 0.617 0.248
O1 O 0.098 0.964 0.249


*C*
# PBE CdPdSeO, optimized geometry
# Calculated density in kg/m³: 6748
# Volume in Å³ per cell: 308.86
data_CdPdSeO
_symmetry_space_group_name_H-M 'P c a 21'
_symmetry_Int_Tables_number 29
_cell_length_a 7.570
_cell_length_b 8.721
_cell_length_c 4.679
_cell_angle_alpha 90.00
_cell_angle_beta 90.00
_cell_angle_gamma 90.00
loop_
_symmetry_equiv_pos_as_xyz
'x,y,z'
'-x,-y,z+1/2'
'-x+1/2,y,z+1/2'
'x+1/2,-y,z'
loop_
_atom_site_label
_atom_site_type_symbol
_atom_site_fract_x
_atom_site_fract_y
_atom_site_fract_z
Cd1 Cd 0.106 0.096 0.000
Pd1 Pd 0.130 0.734 0.995
Se1 Se 0.076 0.631 0.494
O1 O 0.094 0.105 0.500


*D*
# PBE CdPdSeO, optimized geometry
# Calculated density in kg/m³: 7255
# Volume in Å³ per cell: 574.55
data_CdPdSeO
_symmetry_space_group_name_H-M 'P b c a'
_symmetry_Int_Tables_number 61
_cell_length_a 6.627
_cell_length_b 12.974
_cell_length_c 6.683
_cell_angle_alpha 90.00
_cell_angle_beta 90.00
_cell_angle_gamma 90.00
loop_
_symmetry_equiv_pos_as_xyz
'x,y,z'
'-x,-y,-z'
'-x+1/2,-y,z+1/2'
'x+1/2,y,-z+1/2'
'x+1/2,-y+1/2,-z'
'-x+1/2,y+1/2,z'
'-x,y+1/2,-z+1/2'
'x,-y+1/2,z+1/2'
loop_
_atom_site_label
_atom_site_type_symbol
_atom_site_fract_x
_atom_site_fract_y
_atom_site_fract_z
Cd1 Cd 0.015 0.231 0.218
Pd1 Pd 0.241 0.069 0.465
Se1 Se 0.001 0.521 0.748
O1 O 0.210 0.741 0.551


Winner for stability: *C*


*A*
# PBE CdPdSeO, optimized geometry
# Calculated density in kg/m³: 7570
# Volume in Å³ per cell: 137.66
data_CdPdSeO
_symmetry_space_group_name_H-M 'P 4/n m m'
_symmetry_Int_Tables_number 129
_cell_length_a 4.043
_cell_length_b 4.043
_cell_length_c 8.422
_cell_angle_alpha 90.00
_cell_angle_beta 90.00
_cell_angle_gamma 90.00
loop_
_symmetry_equiv_pos_as_xyz
'x,y,z'
'-x,-y,-z'
'-y+1/2,x,z'
'y+1/2,-x,-z'
'-x+1/2,-y+1/2,z'
'x+1/2,y+1/2,-z'
'y,-x+1/2,z'
'-y,x+1/2,-z'
'x+1/2,-y,-z'
'-x+1/2,y,z'
'-y,-x,-z'
'y,x,z'
'-x,y+1/2,-z'
'x,-y+1/2,z'
'y+1/2,x+1/2,-z'
'-y+1/2,-x+1/2,z'
loop_
_atom_site_label
_atom_site_type_symbol
_atom_site_fract_x
_atom_site_fract_y
_atom_site_fract_z
Cd1 Cd 0.250 0.750 0.000
Pd1 Pd 0.250 0.250 0.238
Se1 Se 0.250 0.250 0.694
O1 O 0.250 0.250 0.492


*B*
# PBE CdPdSeO, optimized geometry
# Calculated density in kg/m³: 7637
# Volume in Å³ per cell: 136.46
data_CdPdSeO
_symmetry_space_group_name_H-M 'P 4/n m m'
_symmetry_Int_Tables_number 129
_cell_length_a 3.700
_cell_length_b 3.700
_cell_length_c 9.970
_cell_angle_alpha 90.00
_cell_angle_beta 90.00
_cell_angle_gamma 90.00
loop_
_symmetry_equiv_pos_as_xyz
'x,y,z'
'-x,-y,-z'
'-y+1/2,x,z'
'y+1/2,-x,-z'
'-x+1/2,-y+1/2,z'
'x+1/2,y+1/2,-z'
'y,-x+1/2,z'
'-y,x+1/2,-z'
'x+1/2,-y,-z'
'-x+1/2,y,z'
'-y,-x,-z'
'y,x,z'
'-x,y+1/2,-z'
'x,-y+1/2,z'
'y+1/2,x+1/2,-z'
'-y+1/2,-x+1/2,z'
loop_
_atom_site_label
_atom_site_type_symbol
_atom_site_fract_x
_atom_site_fract_y
_atom_site_fract_z
Cd1 Cd 0.250 0.250 0.129
Pd1 Pd 0.250 0.250 0.698
Se1 Se 0.250 0.750 0.500
O1 O 0.250 0.250 0.908


Winner for stability: *B*


*A*
# PBE Cd2Pt2O5, optimized geometry
# Calculated density in kg/m³: 9394
# Volume in Å³ per cell: 122.85
# Total magnetic moment in μB/atom: 0.0009
data_Cd2Pt2O5
_symmetry_space_group_name_H-M 'P 4/m m m'
_symmetry_Int_Tables_number 123
_symmetry_space_group_name_Hall '-P 4 2'
_cell_length_a 3.891
_cell_length_b 3.891
_cell_length_c 8.115
_cell_angle_alpha 90.00
_cell_angle_beta 90.00
_cell_angle_gamma 90.00
loop_
_atom_site_label
_atom_site_type_symbol
_atom_site_fract_x
_atom_site_fract_y
_atom_site_fract_z
Cd1 Cd 0.000 0.000 0.000
Cd2 Cd 0.000 0.000 0.500
Pt1 Pt 0.500 0.500 0.234
O1 O 0.000 0.500 0.181
O2 O 0.500 0.500 0.500


*B*
# PBE Cd2Pt2O5, optimized geometry
# Calculated density in kg/m³: 9941
# Volume in Å³ per cell: 116.09
# Total magnetic moment in μB/atom: 0.0006
data_Cd2Pt2O5
_symmetry_space_group_name_H-M 'P 4/m m m'
_symmetry_Int_Tables_number 123
_symmetry_space_group_name_Hall '-P 4 2'
_cell_length_a 3.514
_cell_length_b 3.514
_cell_length_c 9.402
_cell_angle_alpha 90.00
_cell_angle_beta 90.00
_cell_angle_gamma 90.00
loop_
_atom_site_label
_atom_site_type_symbol
_atom_site_fract_x
_atom_site_fract_y
_atom_site_fract_z
Cd1 Cd 0.000 0.000 0.228
Pt1 Pt 0.500 0.500 0.000
Pt2 Pt 0.500 0.500 0.500
O1 O 0.000 0.000 0.000
O2 O 0.000 0.500 0.377


Winner for stability: *A*


*A*
# PBE Cd2SO, optimized geometry
# Calculated density in kg/m³: 6033
# Volume in Å³ per cell: 150.23
data_Cd2SO
_symmetry_space_group_name_H-M 'P 63 m c'
_symmetry_Int_Tables_number 186
_symmetry_space_group_name_Hall 'P 6c -2c'
_cell_length_a 3.7643
_cell_length_b 3.7643
_cell_length_c 12.2420
_cell_angle_alpha 90.00
_cell_angle_beta 90.00
_cell_angle_gamma 120.00
loop_
_atom_site_label
_atom_site_type_symbol
_atom_site_fract_x
_atom_site_fract_y
_atom_site_fract_z
Cd1 Cd 0.0000 0.0000 0.0000
Cd2 Cd 0.3333 0.6667 0.2629
S1 S 0.3333 0.6667 0.6088
O1 O 0.0000 0.0000 0.3250


*B*
# PBE Cd2SO, optimized geometry
# Calculated density in kg/m³: 6611
# Volume in Å³ per cell: 274.18
data_Cd2SO
_symmetry_space_group_name_H-M 'C m c m'
_symmetry_Int_Tables_number 63
_symmetry_space_group_name_Hall '-C 2c 2'
_cell_length_a 3.556
_cell_length_b 13.113
_cell_length_c 5.880
_cell_angle_alpha 90.00
_cell_angle_beta 90.00
_cell_angle_gamma 90.00
loop_
_atom_site_label
_atom_site_type_symbol
_atom_site_fract_x
_atom_site_fract_y
_atom_site_fract_z
Cd1 Cd 0.000 0.069 0.250
Cd2 Cd 0.000 0.359 0.250
S1 S 0.000 0.281 0.750
O1 O 0.000 0.500 0.000


*C*
# PBE Cd2SO, optimized geometry
# Calculated density in kg/m³: 5416
# Volume in Å³ per cell: 83.66
data_Cd2SO
_symmetry_space_group_name_H-M 'P 3 m 1'
_symmetry_Int_Tables_number 156
_cell_length_a 3.8972
_cell_length_b 3.8972
_cell_length_c 6.3604
_cell_angle_alpha 90.00
_cell_angle_beta 90.00
_cell_angle_gamma 120.00
loop_
_symmetry_equiv_pos_as_xyz
'x,y,z'
'-y,x-y,z'
'-x+y,-x,z'
'-y,-x,z'
'-x+y,y,z'
'x,x-y,z'
loop_
_atom_site_label
_atom_site_type_symbol
_atom_site_fract_x
_atom_site_fract_y
_atom_site_fract_z
Cd1 Cd 0.0000 0.0000 0.0000
Cd2 Cd 0.3333 0.6667 0.5656
S1 S 0.0000 0.0000 0.4005
O1 O 0.3333 0.6667 0.9126


Winner for stability: *C*


*A*
# PBE CdSnSO, optimized geometry
# Calculated density in kg/m³: 5867
# Volume in Å³ per cell: 158.02
data_CdSnSO
_symmetry_space_group_name_H-M 'P 63 m c'
_symmetry_Int_Tables_number 186
_symmetry_space_group_name_Hall 'P 6c -2c'
_cell_length_a 3.7017
_cell_length_b 3.7017
_cell_length_c 13.3165
_cell_angle_alpha 90.00
_cell_angle_beta 90.00
_cell_angle_gamma 120.00
loop_
_atom_site_label
_atom_site_type_symbol
_atom_site_fract_x
_atom_site_fract_y
_atom_site_fract_z
Cd1 Cd 0.3333 0.6667 0.0000
Sn1 Sn 0.0000 0.0000 0.2295
S1 S 0.3333 0.6667 0.3604
O1 O 0.0000 0.0000 0.0650


*B*
# PBE CdSnSO, optimized geometry
# Calculated density in kg/m³: 6361
# Volume in Å³ per cell: 291.51
data_CdSnSO
_symmetry_space_group_name_H-M 'C m c m'
_symmetry_Int_Tables_number 63
_symmetry_space_group_name_Hall '-C 2c 2'
_cell_length_a 3.462
_cell_length_b 14.288
_cell_length_c 5.893
_cell_angle_alpha 90.00
_cell_angle_beta 90.00
_cell_angle_gamma 90.00
loop_
_atom_site_label
_atom_site_type_symbol
_atom_site_fract_x
_atom_site_fract_y
_atom_site_fract_z
Cd1 Cd 0.000 0.055 0.250
Sn1 Sn 0.000 0.347 0.250
S1 S 0.000 0.299 0.750
O1 O 0.000 0.500 0.000


*C*
# PBE CdSnSO, optimized geometry
# Calculated density in kg/m³: 5193
# Volume in Å³ per cell: 357.07
data_CdSnSO
_symmetry_space_group_name_H-M 'P c a 21'
_symmetry_Int_Tables_number 29
_cell_length_a 6.233
_cell_length_b 9.630
_cell_length_c 5.948
_cell_angle_alpha 90.00
_cell_angle_beta 90.00
_cell_angle_gamma 90.00
loop_
_symmetry_equiv_pos_as_xyz
'x,y,z'
'-x,-y,z+1/2'
'-x+1/2,y,z+1/2'
'x+1/2,-y,z'
loop_
_atom_site_label
_atom_site_type_symbol
_atom_site_fract_x
_atom_site_fract_y
_atom_site_fract_z
Cd1 Cd 0.085 0.087 0.000
Sn1 Sn 0.010 0.675 0.075
S1 S 0.073 0.688 0.634
O1 O 0.070 0.105 0.618


Winner for stability: *C*